No. 1
AgBi2O | GGA-PBEsol | relaxed

## Properties
SG	I-42d (122)
energy	-17.57	eV per formula unit
formation energy from raw total energies	-0.444	eV per formula unit

```
AgBi2O
1.0
-3.242 -2.524 -3.339
-1.582 -3.170 3.933
-2.755 7.389 1.286
O Bi Ag
2 4 2
Cartesian
-4.204 1.009 -0.878
-2.412 -2.847 0.297
-3.569 -2.091 2.222
-3.838 -1.332 -0.836
-2.806 4.556 1.379
-4.944 2.257 0.996
-3.374 0.686 2.758
0.000 0.000 0.000
```


No. 2
Ba2LiH2 | GGA-PBEsol | relaxed

## Properties
SG	I4/mmm (139)
energy	-14.25	eV per formula unit

```
Ba2LiH2
1.0
-1.495 3.106 2.710
-3.754 0.163 -2.258
-0.351 -7.041 4.330
H Ba Li
2 2 1
Cartesian
-3.365 -2.622 1.148
-2.235 -1.150 3.632
-2.032 -3.692 3.111
-3.568 -0.080 1.670
0.000 0.000 0.000
```